# Li2V4Si4O13, optimized geometry, DFT GGA+U
# Total energy (eV/cell): -347.7
data_Li2V4Si4O13
_chemical_formula_sum 'Li4 V8 Si8 O26'
_space_group_name_H-M_alt 'P -1'
_space_group_IT_number 2
_space_group_name_Hall '-P 1'
_cell_length_a 6.955
_cell_length_b 8.013
_cell_length_c 10.314
_cell_angle_alpha 68.25
_cell_angle_beta 80.48
_cell_angle_gamma 77.54
loop_
_atom_site_label
_atom_site_fract_x
_atom_site_fract_y
_atom_site_fract_z
Li1 0.219 0.054 0.430
Li2 0.278 0.512 0.880
V1 0.076 0.193 0.987
V2 0.081 0.545 0.623
V3 0.415 0.811 0.010
V4 0.417 0.452 0.379
Si1 0.124 0.846 0.289
Si2 0.228 0.418 0.171
Si3 0.228 0.861 0.716
Si4 0.435 0.159 0.709
O1 0.001 0.465 0.847
O2 0.024 0.999 0.651
O3 0.107 0.636 0.391
O4 0.117 0.898 0.121
O5 0.210 0.772 0.886
O6 0.215 0.302 0.343
O7 0.286 0.299 0.067
O8 0.288 0.708 0.643
O9 0.326 0.891 0.319
O10 0.371 0.372 0.610
O11 0.374 0.115 0.877
O12 0.378 0.012 0.652
O13 0.405 0.539 0.154